# Pr2NdTl

A geometry-optimized Pr2NdTl structure (PBE-GGA, Alexandria via LeMat-Bulk). Values from VASP.

The structure in Quantum ESPRESSO input format:
```
&SYSTEM
  ibrav = 0, nat = 4, ntyp = 3
/
ATOMIC_SPECIES
Nd 144.24 Nd.upf
Pr 140.91 Pr.upf
Tl 204.38 Tl.upf
ATOMIC_POSITIONS angstrom
Nd 2.517 2.507 2.507
Pr 0.000 0.000 2.507
Pr 0.000 2.507 0.000
Tl 2.517 0.000 0.000
CELL_PARAMETERS angstrom
5.033 0.000 0.000
0.000 5.013 0.000
0.000 0.000 5.013
```

Summary:
- Symmetry: P4/mmm
- Offset from the most stable computed form: 0.0 meV/atom
- Final energy: -4.38 eV per atom
- Formation energy from the elements: -0.2079 eV/atom
- Crystal system: tetragonal